1.
Computed, not measured: a geometry-optimized SmBH structure at the PBE level of DFT.

Calculated values
Total energy, eV per atom: -5.41
Relative energy among the computed polymorphs, eV/f.u.: 0.00
Volume, Å³ per cell: 79.7
Magnetic moment, μB per atom: 0.000
D(E_F), states/eV/cell: 3.3

a b c (Å): 3.7760 3.2759 7.4707
angles (deg): 64.02 104.56 89.94
Closest atoms and distances in Å follow each position.
Fractional positions:
1 H 0.7586 0.7348 0.5159  4 Sm 2.29-2.35, 4 H 2.50-2.52
2 H 0.2414 0.2652 0.4841  4 Sm 2.29-2.35, 4 H 2.50-2.52
3 Sm 0.6334 0.4826 0.2677  4 H 2.29-2.35
4 Sm 0.3666 0.5174 0.7323  4 H 2.29-2.35
5 B 0.0181 0.2128 0.0372  2 B 1.71
6 B 0.9819 0.7872 0.9628  2 B 1.71

***

2.
Computed, not measured: a geometry-optimized SmB3H12 structure at the PBE level of DFT.

Calculated values
Total energy, eV per atom: -4.38
Volume, Å³ per cell: 351.5
Magnetic moment, μB per atom: 0.000
D(E_F), states/eV/cell: 0.0

a b c (Å): 7.9074 7.9074 7.9363
angles (deg): 60.12 60.12 60.00
Closest atoms and distances in Å follow each position.
Fractional positions:
1 H 0.9870 0.7989 0.0341  1 B 1.23
2 H 0.3016 0.8650 0.3520  1 B 1.23
3 H 0.4841 0.8653 0.9738  1 B 1.23
4 H 0.6769 0.4841 0.9738  1 B 1.23
5 H 0.1769 0.3653 0.4738  1 B 1.23
6 H 0.7992 0.3627 0.6557  1 B 1.23
7 H 0.1824 0.7992 0.6557  1 B 1.23
8 H 0.6799 0.2989 0.5341  1 B 1.23
9 H 0.8653 0.6769 0.9738  1 B 1.23
10 H 0.4815 0.3016 0.3520  1 B 1.23
11 H 0.1799 0.9870 0.0341  1 B 1.23
12 H 0.4870 0.6799 0.5341  1 B 1.23
13 H 0.3650 0.8016 0.8520  1 B 1.23
14 H 0.3653 0.9841 0.4738  1 B 1.23
15 H 0.6824 0.8627 0.1557  1 B 1.23
16 H 0.2989 0.4870 0.5341  1 B 1.23
17 H 0.3627 0.1824 0.6557  1 B 1.23
18 H 0.9841 0.1769 0.4738  1 B 1.23
19 H 0.8650 0.4815 0.3520  1 B 1.23
20 H 0.8016 0.9815 0.8520  1 B 1.23
21 H 0.9815 0.3650 0.8520  1 B 1.23
22 H 0.2992 0.6824 0.1557  1 B 1.23
23 H 0.7989 0.1799 0.0341  1 B 1.23
24 H 0.8627 0.2992 0.1557  1 B 1.23
25 B 0.8321 0.3301 0.5039  4 H 1.23
26 B 0.8339 0.8301 0.0039  4 H 1.23
27 B 0.3321 0.8339 0.0039  4 H 1.23
28 B 0.8301 0.3321 0.0039  4 H 1.23
29 B 0.3339 0.8321 0.5039  4 H 1.23
30 B 0.3301 0.3339 0.5039  4 H 1.23
31 Sm 0.5820 0.5820 0.2539  12 H 2.36
32 Sm 0.0820 0.0820 0.7539  12 H 2.36

***

Q: The lowest D(E_F) belongs to which entry?
A: SmB3H12

***

Q: Which of these has the highest D(E_F)?
A: SmBH

***

Q: Among the records above, which one has the lowest D(E_F)?
A: SmB3H12